Entry 1:
SrLiErHg: relaxed, GGA-PBE.

The value obtained for the formation energy from the elements is -0.16 eV/atom. For the total magnetization, the calculation gives 0.0 μB per cell. As for the crystal system: cubic. Its total energy is -2.270 eV per atom.

It has space group F-43m (No. 216), with a = 7.665 Å, b = 7.665 Å, c = 7.665 Å, α = 90.00°, β = 90.00° and γ = 90.00°. The asymmetric unit holds Sr at (0.000, 0.000, 0.000), Li at (0.250, 0.250, 0.250), Er at (0.000, 0.000, 0.500) and Hg at (0.250, 0.250, 0.750).


Entry 2:
SrLiEr2Hg4: relaxed, GGA-PBE.

The value obtained for the formation energy from the elements is -0.42 eV/atom. For the total magnetization, the calculation gives 0.0 μB per cell. As for the crystal system: trigonal. Its total energy is -2.161 eV per atom.

It has space group R-3m (No. 166, hexagonal axes), with a = 5.1223 Å, b = 5.1223 Å, c = 27.2514 Å, α = 90.00°, β = 90.00° and γ = 120.00°. The asymmetric unit holds Sr at (0.0000, 0.0000, 0.0000), Li at (0.0000, 0.0000, 0.5000), Er at (0.0000, 0.0000, 0.2395), Hg at (0.0000, 0.0000, 0.1269) and Hg at (0.0000, 0.0000, 0.3939).


Entry 3:
LiTbErHg: relaxed, GGA-PBE.

The value obtained for the formation energy from the elements is -0.21 eV/atom. For the total magnetization, the calculation gives 0.0 μB per cell. As for the crystal system: cubic. Its total energy is -3.063 eV per atom.

It has space group F-43m (No. 216), with a = 7.369 Å, b = 7.369 Å, c = 7.369 Å, α = 90.00°, β = 90.00° and γ = 90.00°. The asymmetric unit holds Li at (0.000, 0.000, 0.000), Tb at (0.250, 0.250, 0.750), Er at (0.250, 0.250, 0.250) and Hg at (0.000, 0.000, 0.500).


Entry 4:
LiTb2ErHg4: relaxed, GGA-PBE.

The value obtained for the formation energy from the elements is -0.46 eV/atom. For the total magnetization, the calculation gives 0.0 μB per cell. As for the crystal system: trigonal. Its total energy is -2.579 eV per atom.

It has space group R-3m (No. 166, hexagonal axes), with a = 5.1513 Å, b = 5.1513 Å, c = 25.4870 Å, α = 90.00°, β = 90.00° and γ = 120.00°. The asymmetric unit holds Li at (0.0000, 0.0000, 0.0000), Tb at (0.0000, 0.0000, 0.2541), Er at (0.0000, 0.0000, 0.5000), Hg at (0.0000, 0.0000, 0.1242) and Hg at (0.0000, 0.0000, 0.3746).


Entry 5:
LiEr2ThHg4: relaxed, GGA-PBE.

The value obtained for the formation energy from the elements is -0.36 eV/atom. For the total magnetization, the calculation gives 0.0 μB per cell. As for the crystal system: trigonal. Its total energy is -2.821 eV per atom.

It has space group R-3m (No. 166, hexagonal axes), with a = 5.0688 Å, b = 5.0688 Å, c = 26.8255 Å, α = 90.00°, β = 90.00° and γ = 120.00°. The asymmetric unit holds Li at (0.0000, 0.0000, 0.0000), Er at (0.0000, 0.0000, 0.2569), Th at (0.0000, 0.0000, 0.5000), Hg at (0.0000, 0.0000, 0.1157) and Hg at (0.0000, 0.0000, 0.3706).


Entry 6:
Li2ErThHg4: relaxed, GGA-PBE.

The value obtained for the formation energy from the elements is -0.36 eV/atom. For the total magnetization, the calculation gives 0.0 μB per cell. As for the crystal system: trigonal. Its total energy is -2.485 eV per atom.

It has space group R-3m (No. 166, hexagonal axes), with a = 5.0362 Å, b = 5.0362 Å, c = 25.2888 Å, α = 90.00°, β = 90.00° and γ = 120.00°. The asymmetric unit holds Li at (0.0000, 0.0000, 0.2473), Er at (0.0000, 0.0000, 0.5000), Th at (0.0000, 0.0000, 0.0000), Hg at (0.0000, 0.0000, 0.1269) and Hg at (0.0000, 0.0000, 0.3809).